(1)
Material: LiHfCr2Hg
Method: DFT, PBE-GGA
State: relaxed

Structure (extended XYZ):
```
5
Lattice="4.401 0.000 0.000 0.000 4.601 0.000 0.000 0.000 4.401" Properties=species:S:1:pos:R:3 pbc="T T T"
Cr 0.000 0.000 2.200
Cr 2.200 0.000 0.000
Li 0.000 0.000 0.000
Hg 2.200 2.300 2.200
Hf 0.000 2.300 0.000
```

Properties
- formation enthalpy at 0 K (eV/f.u.) = 5.2

(2)
Material: HfCr2HgN
Method: DFT, PBE-GGA
State: relaxed

Structure (extended XYZ):
```
5
Lattice="-2.025 -1.129 3.885 -3.321 -3.199 -2.661 2.899 -3.436 0.512" Properties=species:S:1:pos:R:3 pbc="T T T"
Cr -1.013 -0.565 1.943
Cr 1.450 -1.718 0.256
Hf 0.000 0.000 0.000
N -1.224 -3.882 0.868
Hg -1.661 -1.600 -1.331
```

Properties
- raw formation energy (meV per atom) = 2836

(3)
Material: NaHfCrHg2
Method: DFT, PBE-GGA
State: relaxed

Structure (extended XYZ):
```
5
Lattice="4.981 0.000 0.000 0.000 5.313 0.000 0.000 0.000 4.981" Properties=species:S:1:pos:R:3 pbc="T T T"
Hf 0.000 2.657 0.000
Cr 2.490 2.657 2.490
Hg 2.490 0.000 0.000
Hg 0.000 0.000 2.490
Na 0.000 0.000 0.000
```

Properties
- formation enthalpy at 0 K (eV/f.u.) = 6.9